A relaxed Ti4Pt2N crystal, computed with PBE.

For the total energy, the calculation gives -8.413 eV/atom. Its calculated density is 9482 kg/m³. As for the space group: No. 55. Its crystal system is orthorhombic. The formation energy from raw total energies comes out at -986 meV/atom.

Unit cell a=3.0352 b=6.9958 c=9.8255 alpha=90.00 beta=90.00 gamma=90.00
Atoms (fractional coordinates):
Pt: 0.5000 0.9510 0.8636
Ti: 0.5000 0.8234 0.5641
Pt: 0.5000 0.0490 0.1364
Ti: 0.0000 0.3569 0.1879
Pt: 0.5000 0.4510 0.6364
Ti: 0.0000 0.8569 0.3121
Ti: 0.5000 0.6766 0.0641
Ti: 0.0000 0.1431 0.6879
N: 0.0000 0.0000 0.5000
Ti: 0.0000 0.6431 0.8121
Ti: 0.5000 0.3234 0.9359
N: 0.0000 0.5000 0.0000
Ti: 0.5000 0.1766 0.4359
Pt: 0.5000 0.5490 0.3636